Record 1
The following is a DFT calculation (PBE) of an optimized crystal structure of KPaCuI6.

The structure in POSCAR format:
```
KPaCuI6
1.0
7.635 0.000 0.000
-3.818 6.612 0.000
0.000 0.000 16.028
K Pa Cu I
2 2 2 12
Direct
0.000 0.000 0.000
0.000 0.000 0.500
0.333 0.667 0.250
0.667 0.333 0.750
0.333 0.667 0.750
0.667 0.333 0.250
0.013 0.368 0.643
0.013 0.645 0.857
0.355 0.368 0.857
0.355 0.987 0.643
0.368 0.013 0.143
0.368 0.355 0.357
0.632 0.645 0.643
0.632 0.987 0.857
0.645 0.013 0.357
0.645 0.632 0.143
0.987 0.355 0.143
0.987 0.632 0.357
```

Output
formation energy from raw total energies	-0.834	eV/atom
mass density	4.494	g/cm3



Record 2
The following is a DFT calculation (PBE) of an optimized crystal structure of Sc3Co.

The structure in POSCAR format:
```
Sc3Co
1.0
3.692 0.000 0.000
0.000 4.509 0.000
0.000 0.000 4.732
Sc Co
3 1
Direct
0.000 0.000 0.000
0.000 0.500 0.492
0.500 0.500 0.967
0.500 0.000 0.588
```

Output
calculated formation energy	3.82	kJ/mol of atoms
mass density	4.086	g/cm3



Record 3
The following is a DFT calculation (PBE) of an optimized crystal structure of PmGaI2.

The structure in POSCAR format:
```
PmGaI2
1.0
2.111 1.219 10.356
-2.111 1.219 10.356
0.000 -2.437 10.356
Pm Ga I
1 1 2
Direct
0.000 0.000 0.000
0.500 0.500 0.500
0.098 0.098 0.098
0.902 0.902 0.902
```

Output
formation energy from raw total energies	-0.369	eV/atom
mass density	4.868	g/cm3



Record 4
The following is a DFT calculation (PBE) of an optimized crystal structure of PmHg2F11.

The structure in POSCAR format:
```
PmHg2F11
1.0
-4.387 5.186 5.421
4.387 -5.186 5.421
4.387 5.186 -5.421
Pm Hg F
2 4 22
Direct
0.250 0.250 0.000
0.750 0.750 0.000
0.211 0.701 0.912
0.289 0.201 0.491
0.711 0.799 0.509
0.789 0.299 0.088
0.000 0.500 0.500
0.033 0.968 0.275
0.046 0.335 0.119
0.154 0.424 0.578
0.193 0.468 0.936
0.216 0.928 0.881
0.284 0.165 0.711
0.307 0.243 0.275
0.346 0.924 0.270
0.454 0.572 0.289
0.467 0.743 0.936
0.500 0.000 0.500
0.533 0.257 0.064
0.546 0.428 0.711
0.654 0.076 0.730
0.693 0.757 0.725
0.716 0.835 0.289
0.784 0.072 0.119
0.807 0.532 0.064
0.846 0.576 0.422
0.954 0.665 0.881
0.967 0.032 0.725
```

Output
formation energy from raw total energies	-1.741	eV/atom
mass density	5.082	g/cm3



Number 2 is which compound? Sc3Co



Which of these has the highest mass density? PmHg2F11



Among the records above, which one has the lowest mass density? Sc3Co



Which value of mass density does entry 3 give? 4.868 g/cm3